DFT (PBE) results for a relaxed structure of Cs2TaZnCl6.

Values from the calculation:
* E_form (uncorrected): -1.35 eV per atom
* M_tot: 1.000 μB per cell
* V: 36.357 Å³/atom
* E: -3.94 eV per atom

abc: 8.0113 8.0113 8.0113
angles: 60.00 60.00 60.00
With the nearest neighbours (Å) after each atom.
Sites, in units of the cell vectors:
Cs 0.2500 0.2500 0.2500  12 Cl 4.03
Cs 0.7500 0.7500 0.7500  12 Cl 4.03
Ta 0.0000 0.0000 0.0000  6 Cl 2.43
Zn 0.5000 0.5000 0.5000  6 Cl 3.24
Cl 0.2143 0.2143 0.7857  1 Ta 2.43
Cl 0.2143 0.7857 0.2143  1 Ta 2.43
Cl 0.2143 0.7857 0.7857  1 Ta 2.43
Cl 0.7857 0.2143 0.2143  1 Ta 2.43
Cl 0.7857 0.2143 0.7857  1 Ta 2.43
Cl 0.7857 0.7857 0.2143  1 Ta 2.43

***

DFT (PBE) results for a relaxed structure of NdLuTl2.

Values from the calculation:
* energy of formation from the pure elements: -317.7 meV/atom
* M_tot: 0.145 μB per cell
* energy above the lowest structure with this stoichiometry: 3 meV/atom
* V: 28.044 Å³/atom
* E: -3.82 eV per atom

abc: 5.0850 5.0850 4.3383
angles: 90.00 90.00 90.00
With the nearest neighbours (Å) after each atom.
Sites, in units of the cell vectors:
Nd 0.0000 0.0000 0.0000  8 Tl 3.34, 4 Lu 3.60
Lu 0.5000 0.5000 0.0000  8 Tl 3.34, 4 Nd 3.60
Tl 0.0000 0.5000 0.5000  4 Nd 3.34, 4 Lu 3.34, 4 Tl 3.60
Tl 0.5000 0.0000 0.5000  4 Nd 3.34, 4 Lu 3.34, 4 Tl 3.60

***

What did the second record say?
DFT (PBE) results for a relaxed structure of NdLuTl2.

Values from the calculation:
* energy of formation from the pure elements: -317.7 meV/atom
* M_tot: 0.145 μB per cell
* energy above the lowest structure with this stoichiometry: 3 meV/atom
* V: 28.044 Å³/atom
* E: -3.82 eV per atom

abc: 5.0850 5.0850 4.3383
angles: 90.00 90.00 90.00
With the nearest neighbours (Å) after each atom.
Sites, in units of the cell vectors:
Nd 0.0000 0.0000 0.0000  8 Tl 3.34, 4 Lu 3.60
Lu 0.5000 0.5000 0.0000  8 Tl 3.34, 4 Nd 3.60
Tl 0.0000 0.5000 0.5000  4 Nd 3.34, 4 Lu 3.34, 4 Tl 3.60
Tl 0.5000 0.0000 0.5000  4 Nd 3.34, 4 Lu 3.34, 4 Tl 3.60

***

What did the second record say?
DFT (PBE) results for a relaxed structure of NdLuTl2.

Values from the calculation:
* energy of formation from the pure elements: -317.7 meV/atom
* M_tot: 0.145 μB per cell
* energy above the lowest structure with this stoichiometry: 3 meV/atom
* V: 28.044 Å³/atom
* E: -3.82 eV per atom

abc: 5.0850 5.0850 4.3383
angles: 90.00 90.00 90.00
With the nearest neighbours (Å) after each atom.
Sites, in units of the cell vectors:
Nd 0.0000 0.0000 0.0000  8 Tl 3.34, 4 Lu 3.60
Lu 0.5000 0.5000 0.0000  8 Tl 3.34, 4 Nd 3.60
Tl 0.0000 0.5000 0.5000  4 Nd 3.34, 4 Lu 3.34, 4 Tl 3.60
Tl 0.5000 0.0000 0.5000  4 Nd 3.34, 4 Lu 3.34, 4 Tl 3.60